Entry 1:
This record from the Alexandria database describes crystalline AcLaPr2Nd4 at its relaxed geometry. The functional is GGA-PBE.

abc: 7.4890 7.5147 10.5158
angles: 89.88 90.00 89.51
Positions (direct):
Ac 0.0000 0.0000 0.0000
Ac 0.5000 0.0000 0.5000
La 0.0000 0.0000 0.5000
La 0.0000 0.5000 0.5000
Pr 0.0000 0.5000 0.0000
Pr 0.5000 0.0000 0.0000
Pr 0.5000 0.5000 0.0000
Pr 0.5000 0.5000 0.5000
Nd 0.2508 0.2538 0.2492
Nd 0.2509 0.2541 0.7508
Nd 0.2509 0.7457 0.2493
Nd 0.2507 0.7460 0.7508
Nd 0.7493 0.2540 0.2492
Nd 0.7491 0.2543 0.7507
Nd 0.7491 0.7459 0.2492
Nd 0.7492 0.7462 0.7508

Calculated values
DFT total energy in eV per atom: -4.69
ΔH_f (0 K) in eV/atom: 0.019


Entry 2:
This record from the Alexandria database describes crystalline Ac2LaPrNd4 at its relaxed geometry. The functional is GGA-PBE.

abc: 6.5663 3.7982 12.3846
angles: 90.00 100.38 90.00
Positions (direct):
Ac 0.0000 0.0000 0.0000
Ac 0.5000 0.5000 0.0000
La 0.0000 0.5000 0.5000
Pr 0.5000 0.0000 0.5000
Nd 0.2484 0.0000 0.7453
Nd 0.2519 0.5000 0.2552
Nd 0.7481 0.5000 0.7448
Nd 0.7516 0.0000 0.2547

Calculated values
DFT total energy in eV per atom: -4.60
ΔH_f (0 K) in eV/atom: 0.028


Entry 3:
This record from the Alexandria database describes crystalline AcLaPr4Nd2 at its relaxed geometry. The functional is GGA-PBE.

abc: 7.4930 7.5175 10.5759
angles: 90.15 90.02 90.48
Positions (direct):
Ac 0.0000 0.0000 0.0000
Ac 0.5000 0.0000 0.5000
La 0.0000 0.0000 0.5000
La 0.0000 0.5000 0.5000
Pr 0.2515 0.2551 0.2487
Pr 0.2513 0.7458 0.2486
Pr 0.2514 0.7458 0.7515
Pr 0.2515 0.2546 0.7514
Pr 0.7485 0.7454 0.2486
Pr 0.7486 0.2542 0.2485
Pr 0.7487 0.2542 0.7514
Pr 0.7485 0.7449 0.7513
Nd 0.0000 0.5000 0.0000
Nd 0.5000 0.0000 0.0000
Nd 0.5000 0.5000 0.0000
Nd 0.5000 0.5000 0.5000

Calculated values
DFT total energy in eV per atom: -4.69
ΔH_f (0 K) in eV/atom: 0.019


Entry 4:
This record from the Alexandria database describes crystalline AcLaPr2Nd at its relaxed geometry. The functional is GGA-PBE.

abc: 7.5224 7.5224 7.5229
angles: 90.00 90.00 112.00
Positions (direct):
Ac 0.2433 0.7567 0.7500
Ac 0.7567 0.2433 0.2500
La 0.0580 0.9420 0.2500
La 0.9420 0.0580 0.7500
Pr 0.3033 0.3033 0.0000
Pr 0.3033 0.3033 0.5000
Pr 0.6967 0.6967 0.0000
Pr 0.6967 0.6967 0.5000
Nd 0.3037 0.6963 0.2500
Nd 0.6963 0.3037 0.7500

Calculated values
DFT total energy in eV per atom: -4.37
ΔH_f (0 K) in eV/atom: 0.300


Entry 5:
This record from the Alexandria database describes crystalline Ac6La2PrNd3 at its relaxed geometry. The functional is GGA-PBE.

abc: 6.7197 6.7197 12.5886
angles: 95.12 95.12 120.07
Positions (direct):
Ac 0.0842 0.4177 0.7523
Ac 0.2494 0.2494 0.2477
Ac 0.4177 0.0842 0.7523
Ac 0.5823 0.9158 0.2477
Ac 0.7506 0.7506 0.7523
Ac 0.9158 0.5823 0.2477
La 0.3334 0.6666 0.5000
La 0.6666 0.3334 0.5000
Pr 0.0000 0.0000 0.5000
Nd 0.1666 0.8334 0.0000
Nd 0.5000 0.5000 0.0000
Nd 0.8334 0.1666 0.0000

Calculated values
DFT total energy in eV per atom: -4.44
ΔH_f (0 K) in eV/atom: 0.024


Entry 6:
This record from the Alexandria database describes crystalline AcLa2Pr2Nd at its relaxed geometry. The functional is GGA-PBE.

abc: 7.4031 5.9317 10.2703
angles: 90.00 90.00 90.00
Positions (direct):
Ac 0.0000 0.0000 0.0000
Ac 0.5000 0.0000 0.0000
La 0.0000 0.5000 0.5000
La 0.2500 0.0000 0.3354
La 0.5000 0.5000 0.5000
La 0.7500 0.0000 0.6646
Pr 0.2500 0.0000 0.6642
Pr 0.2500 0.5000 0.1697
Pr 0.7500 0.0000 0.3358
Pr 0.7500 0.5000 0.8303
Nd 0.2500 0.5000 0.8317
Nd 0.7500 0.5000 0.1683

Calculated values
DFT total energy in eV per atom: -4.68
ΔH_f (0 K) in eV/atom: 0.036


Entry 7:
This record from the Alexandria database describes crystalline Ac12La4PrNd3 at its relaxed geometry. The functional is GGA-PBE.

abc: 10.5802 10.5802 10.5802
angles: 109.47 109.47 109.47
Positions (direct):
Ac 0.0848 0.7909 0.2939
Ac 0.2091 0.2939 0.5030
Ac 0.2091 0.7061 0.9152
Ac 0.2939 0.0848 0.7909
Ac 0.2939 0.5030 0.2091
Ac 0.4970 0.7909 0.7061
Ac 0.5030 0.2091 0.2939
Ac 0.7061 0.4970 0.7909
Ac 0.7061 0.9152 0.2091
Ac 0.7909 0.2939 0.0848
Ac 0.7909 0.7061 0.4970
Ac 0.9152 0.2091 0.7061
La 0.0000 0.0000 0.5000
La 0.0000 0.5000 0.0000
La 0.5000 0.0000 0.0000
La 0.5000 0.5000 0.5000
Pr 0.0000 0.0000 0.0000
Nd 0.0000 0.5000 0.5000
Nd 0.5000 0.0000 0.5000
Nd 0.5000 0.5000 0.0000

Calculated values
DFT total energy in eV per atom: -3.80
ΔH_f (0 K) in eV/atom: 0.609


Entry 8:
This record from the Alexandria database describes crystalline Ac4LaPrNd2 at its relaxed geometry. The functional is GGA-PBE.

abc: 6.7113 3.8763 12.5785
angles: 90.00 100.33 90.00
Positions (direct):
Ac 0.2494 0.0000 0.2474
Ac 0.2502 0.5000 0.7515
Ac 0.7498 0.5000 0.2485
Ac 0.7506 0.0000 0.7526
La 0.5000 0.5000 0.5000
Pr 0.0000 0.0000 0.5000
Nd 0.0000 0.5000 0.0000
Nd 0.5000 0.0000 0.0000

Calculated values
DFT total energy in eV per atom: -4.43
ΔH_f (0 K) in eV/atom: 0.025


Entry 9:
This record from the Alexandria database describes crystalline Ac2La2Pr4Nd at its relaxed geometry. The functional is GGA-PBE.

abc: 10.0538 10.0538 10.1582
angles: 115.20 115.20 21.93
Positions (direct):
Ac 0.1463 0.1463 0.1656
Ac 0.8537 0.8537 0.8344
La 0.3344 0.3344 0.4969
La 0.6656 0.6656 0.5031
Pr 0.1841 0.1841 0.8317
Pr 0.4819 0.4819 0.1774
Pr 0.5181 0.5181 0.8226
Pr 0.8159 0.8159 0.1683
Nd 0.0000 0.0000 0.5000

Calculated values
DFT total energy in eV per atom: -4.64
ΔH_f (0 K) in eV/atom: 0.019


Entry 10:
This record from the Alexandria database describes crystalline Ac4LaPr2Nd at its relaxed geometry. The functional is GGA-PBE.

abc: 6.7171 3.8803 12.6007
angles: 90.00 100.35 90.00
Positions (direct):
Ac 0.2502 0.0000 0.2484
Ac 0.2502 0.5000 0.7513
Ac 0.7498 0.0000 0.7516
Ac 0.7498 0.5000 0.2487
La 0.5000 0.5000 0.5000
Pr 0.0000 0.0000 0.5000
Pr 0.0000 0.5000 0.0000
Nd 0.5000 0.0000 0.0000

Calculated values
DFT total energy in eV per atom: -4.44
ΔH_f (0 K) in eV/atom: 0.024


Entry 11:
This record from the Alexandria database describes crystalline AcLaPrNd3 at its relaxed geometry. The functional is GGA-PBE.

abc: 10.8920 10.8920 7.2576
angles: 90.66 90.66 31.60
Positions (direct):
Ac 0.1480 0.1480 0.0412
Ac 0.8520 0.8520 0.9588
La 0.1425 0.1425 0.4933
La 0.8575 0.8575 0.5067
Pr 0.4470 0.4470 0.7304
Pr 0.5530 0.5530 0.2696
Nd 0.0193 0.0193 0.7497
Nd 0.2811 0.2811 0.7279
Nd 0.3384 0.3384 0.2449
Nd 0.6616 0.6616 0.7551
Nd 0.7189 0.7189 0.2721
Nd 0.9807 0.9807 0.2503

Calculated values
DFT total energy in eV per atom: -4.51
ΔH_f (0 K) in eV/atom: 0.177